A plane-wave DFT calculation with PBE was carried out for a relaxed Dy3AsPbS crystal.

a = 7.2373 Å, b = 4.1052 Å, c = 11.0205 Å
α = 90.00°, β = 102.65°, γ = 90.00°
Closest atoms and distances in Å follow each position.
Element x y z (fractional)
Dy 0.0438 0.2500 0.1556  1 S 2.81, 3 As 2.92-2.94
Dy 0.2419 0.2500 0.5073  3 S 2.74-2.78
Dy 0.4413 0.7500 0.8373  1 S 2.81, 3 As 2.94-2.96
Dy 0.5587 0.2500 0.1627  1 S 2.81, 3 As 2.94-2.96
Dy 0.7581 0.7500 0.4927  3 S 2.74-2.78
Dy 0.9562 0.7500 0.8444  1 S 2.81, 3 As 2.92-2.94
As 0.2344 0.2500 0.9459  6 Dy 2.92-2.96
As 0.7656 0.7500 0.0541  6 Dy 2.92-2.96
Pb 0.3515 0.7500 0.3105  7 Dy 3.18-3.23
Pb 0.6485 0.2500 0.6895  7 Dy 3.18-3.23
S 0.1248 0.7500 0.6373  5 Dy 2.74-2.81
S 0.8752 0.2500 0.3627  5 Dy 2.74-2.81

## Properties
Total magnetic moment in μB/f.u.: 0.0
Formation energy from raw total energies in meV/atom: -1284
SG: P2_1/m, No. 11
DOS at the Fermi energy in states/eV per atom: 0.295